{
  "formula": "Ac2MgZn2Pt5",
  "functional": "PBE",
  "state": "optimized geometry",
  "formation_energy_ev_per_atom": -0.7530,
  "total_magnetization_mub_per_fu": 0.0,
  "lattice": [[10.2120, 0.0000, 0.0000], [0.0000, 10.2120, 0.0000], [0.0000, 0.0000, 3.8230]],
  "species": ["Ac", "Ac", "Ac", "Ac", "Mg", "Mg", "Zn", "Zn", "Zn", "Zn", "Pt", "Pt", "Pt", "Pt", "Pt", "Pt", "Pt", "Pt", "Pt", "Pt"],
  "frac_coords": [[0.1800, 0.3200, 0.0000], [0.3200, 0.8200, 0.0000], [0.6800, 0.1800, 0.0000], [0.8200, 0.6800, 0.0000], [0.0000, 0.0000, 0.0000], [0.5000, 0.5000, 0.0000], [0.1179, 0.6179, 0.0000], [0.3821, 0.1179, 0.0000], [0.6179, 0.8821, 0.0000], [0.8821, 0.3821, 0.0000], [0.0000, 0.5000, 0.5000], [0.0598, 0.7924, 0.5000], [0.2076, 0.0598, 0.5000], [0.2924, 0.5598, 0.5000], [0.4402, 0.2924, 0.5000], [0.5000, 0.0000, 0.5000], [0.5598, 0.7076, 0.5000], [0.7076, 0.4402, 0.5000], [0.7924, 0.9402, 0.5000], [0.9402, 0.2076, 0.5000]]
}